# CuAgPt2

Crystalline CuAgPt2 at its relaxed geometry (GGA-PBE, Alexandria).

Cell: 9.214 9.214 9.214 Å, 17.43 17.43 17.43°
Fractional coordinates of all 4 atoms:
Cu (0.252, 0.252, 0.252)
Ag (0.504, 0.504, 0.504)
Pt (0.995, 0.995, 0.995)
Pt (0.749, 0.749, 0.749)

Values from the calculation:
Energy of formation ... -0.149 eV per formula unit
DOS(E_F) ... 5.12 states/eV/cell
Spin magnetization ... 0.00 μB/f.u.

---

# Y2ZrO

Crystalline Y2ZrO at its relaxed geometry (GGA-PBE, Alexandria).

Cell: 3.154 3.154 8.246 Å, 90.00 90.00 90.00°
Fractional coordinates of all 4 atoms:
Y (0.000, 0.000, 0.812)
Y (0.000, 0.000, 0.188)
O (0.500, 0.500, 0.000)
Zr (0.500, 0.500, 0.500)

Values from the calculation:
E_form (uncorrected) ... -0.888 eV/atom
DOS(E_F) ... 2.93 states/eV/cell
Spin magnetization ... 0.00 μB/f.u.

---

# YSn3F

Crystalline YSn3F at its relaxed geometry (GGA-PBE, Alexandria).

Cell: 5.883 5.883 5.883 Å, 90.00 90.00 90.00°
Fractional coordinates of all 5 atoms:
Y (0.000, 0.000, 0.000)
Sn (0.000, 0.500, 0.000)
Sn (0.000, 0.000, 0.500)
Sn (0.500, 0.000, 0.000)
F (0.500, 0.500, 0.500)

Values from the calculation:
E_form (uncorrected) ... 0.281 eV/atom
DOS(E_F) ... 6.34 states/eV/cell
Spin magnetization ... 0.00 μB/f.u.

---

# Pm3Ga2Cu

Crystalline Pm3Ga2Cu at its relaxed geometry (GGA-PBE, Alexandria).

Cell: 3.556 3.556 11.435 Å, 90.00 90.00 90.00°
Fractional coordinates of all 6 atoms:
Pm (0.000, 0.000, 0.000)
Pm (0.000, 0.000, 0.659)
Pm (0.000, 0.000, 0.341)
Ga (0.500, 0.500, 0.825)
Ga (0.500, 0.500, 0.175)
Cu (0.500, 0.500, 0.500)

Values from the calculation:
Energy of formation ... -2.536 eV per formula unit
DOS(E_F) ... 5.56 states/eV/cell
Spin magnetization ... 0.00 μB/f.u.

---

# HgTeIN2

Crystalline HgTeIN2 at its relaxed geometry (GGA-PBE, Alexandria).

Cell: 4.415 4.415 7.283 Å, 90.00 90.00 90.00°
Each line ends with the local moment (μB).
Fractional coordinates of all 5 atoms:
I (0.000, 0.000, 0.500)  0.03
Te (0.500, 0.500, 0.500)  0.14
Hg (0.000, 0.000, 0.000)  0.04
N (0.000, 0.500, 0.000)  1.15
N (0.500, 0.000, 0.000)  1.15

Values from the calculation:
E_form (uncorrected) ... 1.811 eV/atom
DOS(E_F) ... 3.47 states/eV/cell
Spin magnetization ... 3.73 μB/f.u.

---

# Tc2PW

Crystalline Tc2PW at its relaxed geometry (GGA-PBE, Alexandria).

Cell: 2.918 3.991 5.001 Å, 90.00 90.00 90.00°
Fractional coordinates of all 4 atoms:
Tc (0.000, 0.000, 0.741)
Tc (0.000, 0.000, 0.259)
P (0.500, 0.500, 0.500)
W (0.500, 0.500, 0.000)

Values from the calculation:
Energy of formation ... 0.156 eV per formula unit
DOS(E_F) ... 3.26 states/eV/cell
Spin magnetization ... 0.00 μB/f.u.

---

# NbGaNi6

Crystalline NbGaNi6 at its relaxed geometry (GGA-PBE, Alexandria).

Cell: 4.181 5.149 5.149 Å, 120.00 90.00 90.00°
Fractional coordinates of all 8 atoms:
Nb (0.500, 0.417, 0.583)
Ga (0.000, 0.083, 0.917)
Ni (0.000, 0.073, 0.411)
Ni (0.000, 0.589, 0.927)
Ni (0.000, 0.589, 0.411)
Ni (0.500, 0.422, 0.086)
Ni (0.500, 0.914, 0.578)
Ni (0.500, 0.914, 0.086)

Values from the calculation:
Energy of formation ... -2.028 eV per formula unit
DOS(E_F) ... 3.35 states/eV/cell
Spin magnetization ... 0.00 μB/f.u.

---

# Ba5Sb2HO

Crystalline Ba5Sb2HO at its relaxed geometry (GGA-PBE, Alexandria).

Cell: 5.239 5.239 11.927 Å, 90.00 90.00 90.00°
Fractional coordinates of all 9 atoms:
Ba (0.000, 0.500, 0.500)
Ba (0.500, 0.000, 0.500)
Ba (0.000, 0.000, 0.797)
Ba (0.000, 0.000, 0.203)
Ba (0.500, 0.500, 0.000)
Sb (0.500, 0.500, 0.290)
Sb (0.500, 0.500, 0.710)
H (0.000, 0.000, 0.500)
O (0.000, 0.000, 0.000)

Values from the calculation:
DOS(E_F) ... 2.59 states/eV/cell
Spin magnetization ... 0.00 μB/f.u.
Electronic total energy ... -4.01 eV/atom

---

# Zr2Ge2Pb

Crystalline Zr2Ge2Pb at its relaxed geometry (GGA-PBE, Alexandria).

Cell: 7.520 7.520 3.759 Å, 90.00 90.00 90.00°
Fractional coordinates of all 10 atoms:
Pb (0.000, 0.000, 0.000)
Pb (0.500, 0.500, 0.000)
Ge (0.372, 0.872, 0.000)
Ge (0.872, 0.628, 0.000)
Ge (0.628, 0.128, 0.000)
Ge (0.128, 0.372, 0.000)
Zr (0.164, 0.664, 0.500)
Zr (0.664, 0.836, 0.500)
Zr (0.836, 0.336, 0.500)
Zr (0.336, 0.164, 0.500)

Values from the calculation:
Energy of formation ... -1.549 eV per formula unit
DOS(E_F) ... 11.82 states/eV/cell
Spin magnetization ... 0.00 μB/f.u.

---

# CdAg2Sb2

Crystalline CdAg2Sb2 at its relaxed geometry (GGA-PBE, Alexandria).

Cell: 7.547 7.547 4.090 Å, 90.00 90.00 90.00°
Fractional coordinates of all 10 atoms:
Sb (0.171, 0.671, 0.500)
Sb (0.671, 0.829, 0.500)
Sb (0.829, 0.329, 0.500)
Sb (0.329, 0.171, 0.500)
Ag (0.368, 0.868, 0.000)
Ag (0.868, 0.632, 0.000)
Ag (0.632, 0.132, 0.000)
Ag (0.132, 0.368, 0.000)
Cd (0.000, 0.000, 0.000)
Cd (0.500, 0.500, 0.000)

Values from the calculation:
E_form (uncorrected) ... 0.155 eV/atom
DOS(E_F) ... 5.59 states/eV/cell
Spin magnetization ... 0.00 μB/f.u.

---

# KTaIr2

Crystalline KTaIr2 at its relaxed geometry (GGA-PBE, Alexandria).

Cell: 7.468 7.468 6.127 Å, 52.45 52.45 90.00°
Fractional coordinates of all 8 atoms:
K (0.500, 0.500, 0.000)
K (0.250, 0.750, 0.500)
Ir (0.680, 0.125, 0.250)
Ir (0.070, 0.625, 0.250)
Ir (0.375, 0.320, 0.750)
Ir (0.875, 0.930, 0.750)
Ta (0.000, 0.000, 0.000)
Ta (0.750, 0.250, 0.500)

Values from the calculation:
Energy of formation ... 2.716 eV per formula unit
DOS(E_F) ... 2.56 states/eV/cell
Spin magnetization ... 0.00 μB/f.u.

---

# Y2InPb

Crystalline Y2InPb at its relaxed geometry (GGA-PBE, Alexandria).

Cell: 5.654 5.654 5.654 Å, 127.62 127.62 77.24°
Fractional coordinates of all 4 atoms:
Pb (0.750, 0.250, 0.500)
Y (0.000, 0.000, 0.000)
Y (0.500, 0.500, 0.000)
In (0.250, 0.750, 0.500)

Values from the calculation:
Energy of formation ... -1.877 eV per formula unit
DOS(E_F) ... 3.29 states/eV/cell
Spin magnetization ... 0.00 μB/f.u.

---

# Zr3ScN

Crystalline Zr3ScN at its relaxed geometry (GGA-PBE, Alexandria).

Cell: 5.698 8.439 8.367 Å, 103.07 90.00 90.00°
Fractional coordinates of all 20 atoms:
Zr (0.083, 0.944, 0.316)
Zr (0.917, 0.056, 0.684)
Zr (0.583, 0.056, 0.184)
Zr (0.417, 0.944, 0.816)
Zr (0.078, 0.180, 0.064)
Zr (0.922, 0.820, 0.936)
Zr (0.578, 0.820, 0.436)
Zr (0.422, 0.180, 0.564)
Zr (0.411, 0.690, 0.058)
Zr (0.589, 0.310, 0.942)
Zr (0.911, 0.310, 0.442)
Zr (0.089, 0.690, 0.558)
Sc (0.418, 0.436, 0.312)
Sc (0.582, 0.564, 0.688)
Sc (0.918, 0.564, 0.188)
Sc (0.082, 0.436, 0.812)
N (0.752, 0.062, 0.938)
N (0.248, 0.938, 0.062)
N (0.252, 0.938, 0.562)
N (0.748, 0.062, 0.438)

Values from the calculation:
E_form (uncorrected) ... -0.690 eV/atom
DOS(E_F) ... 24.92 states/eV/cell
Spin magnetization ... 0.00 μB/f.u.

---

# NiPtSCl2

Crystalline NiPtSCl2 at its relaxed geometry (GGA-PBE, Alexandria).

Cell: 4.886 4.886 4.678 Å, 90.00 90.00 90.00°
Each line ends with the local moment (μB).
Fractional coordinates of all 5 atoms:
Ni (0.500, 0.500, 0.500)  1.09
S (0.000, 0.000, 0.500)  0.11
Pt (0.000, 0.000, 0.000)  0.02
Cl (0.000, 0.500, 0.000)  0.01
Cl (0.500, 0.000, 0.000)  0.01

Values from the calculation:
E_form (uncorrected) ... 0.572 eV/atom
DOS(E_F) ... 6.13 states/eV/cell
Spin magnetization ... 1.36 μB/f.u.

---

# AlZn2SbIr

Crystalline AlZn2SbIr at its relaxed geometry (GGA-PBE, Alexandria).

Cell: 4.538 5.335 4.538 Å, 90.00 90.00 90.00°
Each line ends with the local moment (μB).
Fractional coordinates of all 5 atoms:
Sb (0.000, 0.500, 0.000)  0.00
Zn (0.000, 0.000, 0.500)  0.01
Zn (0.500, 0.000, 0.000)  0.02
Ir (0.500, 0.500, 0.500)  0.41
Al (0.000, 0.000, 0.000)  0.02

Values from the calculation:
E_form (uncorrected) ... 1.058 eV/atom
DOS(E_F) ... 3.95 states/eV/cell
Spin magnetization ... 0.51 μB/f.u.

---

# MgTlBr2

Crystalline MgTlBr2 at its relaxed geometry (GGA-PBE, Alexandria).

Cell: 3.850 3.850 10.576 Å, 90.00 90.00 121.99°
Fractional coordinates of all 4 atoms:
Br (0.000, 0.000, 0.081)
Br (0.000, 0.000, 0.419)
Mg (0.500, 0.500, 0.250)
Tl (0.500, 0.500, 0.750)

Values from the calculation:
E_form (uncorrected) ... -0.806 eV/atom
DOS(E_F) ... 0.93 states/eV/cell
Spin magnetization ... 0.00 μB/f.u.

---

# LiReBi2Sb

Crystalline LiReBi2Sb at its relaxed geometry (GGA-PBE, Alexandria).

Cell: 5.933 4.980 5.933 Å, 90.00 90.00 90.00°
Each line ends with the local moment (μB).
Fractional coordinates of all 5 atoms:
Re (0.000, 0.500, 0.000)  1.46
Li (0.500, 0.500, 0.500)  0.00
Bi (0.000, 0.000, 0.500)  -0.08
Bi (0.500, 0.000, 0.000)  -0.10
Sb (0.000, 0.000, 0.000)  -0.04

Values from the calculation:
E_form (uncorrected) ... 1.226 eV/atom
DOS(E_F) ... 4.04 states/eV/cell
Spin magnetization ... 1.47 μB/f.u.

---

# HoAlCo

Crystalline HoAlCo at its relaxed geometry (GGA-PBE, Alexandria).

Cell: 5.319 5.319 8.409 Å, 90.00 90.00 119.32°
Each line ends with the local moment (μB).
Fractional coordinates of all 12 atoms:
Ho (0.666, 0.334, 0.299)  -0.02
Ho (0.329, 0.671, 0.175)  -0.07
Ho (0.329, 0.671, 0.825)  -0.07
Ho (0.666, 0.334, 0.701)  -0.02
Al (0.003, 0.997, 0.226)  0.00
Al (0.003, 0.997, 0.774)  0.00
Al (0.662, 0.835, 0.500)  0.00
Al (0.165, 0.338, 0.500)  0.00
Co (0.166, 0.834, 0.500)  0.08
Co (0.361, 0.174, 0.000)  0.31
Co (0.826, 0.639, 0.000)  0.31
Co (0.825, 0.175, 0.000)  0.47

Values from the calculation:
Energy of formation ... -1.167 eV per formula unit
DOS(E_F) ... 12.67 states/eV/cell
Spin magnetization ... 0.25 μB/f.u.

---

# La8Co3CuI4

Crystalline La8Co3CuI4 at its relaxed geometry (GGA-PBE, Alexandria).

Cell: 8.312 9.543 8.402 Å, 116.16 119.64 90.00°
Fractional coordinates of all 16 atoms:
La (0.239, 0.683, 0.953)
La (0.236, 0.682, 0.471)
La (0.269, 0.316, 0.537)
La (0.714, 0.683, 0.953)
La (0.286, 0.317, 0.047)
La (0.731, 0.684, 0.463)
La (0.764, 0.318, 0.529)
La (0.761, 0.317, 0.047)
Co (0.500, 0.500, 0.000)
Co (0.500, 0.500, 0.500)
Co (0.000, 0.500, 0.500)
Cu (0.000, 0.500, 0.000)
I (0.500, 0.000, 0.000)
I (0.500, 0.000, 0.500)
I (0.000, 0.000, 0.000)
I (0.000, 0.000, 0.500)

Values from the calculation:
E_form (uncorrected) ... -0.662 eV/atom
DOS(E_F) ... 10.53 states/eV/cell
Spin magnetization ... 0.00 μB/f.u.

---

# LiLaEu2

Crystalline LiLaEu2 at its relaxed geometry (GGA-PBE, Alexandria).

Cell: 3.742 3.742 12.260 Å, 81.22 81.22 60.00°
Each line ends with the local moment (μB).
Fractional coordinates of all 4 atoms:
Eu (0.746, 0.746, 0.763)  -7.00
Eu (0.254, 0.254, 0.237)  -7.00
Li (0.000, 0.000, 0.000)  -0.01
La (0.500, 0.500, 0.500)  -0.02

Values from the calculation:
Energy of formation ... 0.383 eV per formula unit
DOS(E_F) ... 4.05 states/eV/cell
Spin magnetization ... 15.00 μB/f.u.